No. 1
The following is a GGA-PBEsol calculation of an optimized crystal structure of TaAsO4, from Alexandria via LeMat-Bulk.

The space group is Pnna (No. 52) and the conventional cell measures 5.446, 11.674 and 4.992 Å, with angles of 90.00, 90.00 and 90.00 degrees. The inequivalent atoms are Ta at (0.118, 0.250, 0.250), As at (0.250, 0.000, 0.657), O at (0.082, 0.091, 0.416) and O at (0.154, 0.698, 0.510).

The total magnetic moment is 0.0000 μB/atom. As for the raw formation energy: -2.1229 eV/atom.


No. 2
The following is a GGA-PBEsol calculation of an optimized crystal structure of TaAsO4, from Alexandria via LeMat-Bulk.

The space group is Cmc2_1 (No. 36) and the conventional cell measures 3.885, 14.474 and 5.553 Å, with angles of 90.00, 90.00 and 90.00 degrees. The inequivalent atoms are Ta at (0.000, 0.092, 0.000), As at (0.000, 0.322, 0.098), O at (0.000, 0.018, 0.281), O at (0.000, 0.172, 0.702), O at (0.000, 0.205, 0.197) and O at (0.000, 0.392, 0.419).

The total magnetic moment is 0.0000 μB/atom. As for the raw formation energy: -2.0737 eV/atom.